Below is a relaxed structure of TiRuN2F, with properties calculated at the GGA-PBE level.

Summary:
D(E_F) in states/eV per atom: 1.0195
Energy above the lowest structure with this stoichiometry in eV per formula unit: 0.00
Magnetic moment in μB per formula unit: 3.0
Space-group type: P4/mmm

Unit cell a=3.9831 b=3.9831 c=3.7678 alpha=90.00 beta=90.00 gamma=90.00
Each line ends with the local moment (μB).
Element x y z (fractional)
F (0.0000, 0.0000, 0.5000)  0.06
N (0.0000, 0.5000, 0.0000)  0.03
N (0.5000, 0.0000, 0.0000)  0.03
Ru (0.5000, 0.5000, 0.5000)  2.66
Ti (0.0000, 0.0000, 0.0000)  0.07